Entry 1:
Cs3Zn5Hg12: optimized geometry, PBE.

Cell and atoms, written as extended XYZ:
```
80
Lattice="-0.943 -14.338 6.263 13.805 6.427 3.716 -11.598 8.926 5.612" Properties=species:S:1:pos:R:3 pbc="T T T"
Cs 3.020 -7.227 6.792
Cs 8.079 -6.609 8.968
Cs 2.751 5.022 8.643
Cs -2.860 0.566 4.135
Cs -1.999 -9.511 7.348
Cs 5.375 0.872 6.074
Cs -4.111 0.143 9.516
Cs 3.262 10.526 8.243
Cs 4.123 0.449 11.456
Cs -1.487 -4.007 6.948
Cs -6.815 7.625 6.622
Cs -1.756 8.243 8.798
Zn 2.159 2.849 3.579
Zn 6.902 3.214 1.858
Zn 0.000 0.000 0.000
Zn 1.648 -2.654 3.979
Zn -6.271 -2.706 5.937
Zn 6.431 -3.955 4.989
Zn 5.886 6.375 5.674
Zn -9.130 -2.140 10.072
Zn 3.571 -3.389 9.124
Zn -7.327 2.121 7.022
Zn 8.590 -1.106 8.568
Zn 0.632 0.508 7.795
Zn -0.471 -7.169 3.132
Zn -5.799 4.463 2.806
Zn -2.308 4.404 6.466
Zn 10.394 3.155 5.518
Zn 1.103 7.676 4.664
Zn -4.623 -5.360 9.916
Zn -0.384 3.669 11.611
Zn -0.896 -1.834 12.011
Hg -11.336 -0.624 9.925
Hg 1.346 2.577 6.119
Hg 2.450 5.514 3.609
Hg 1.409 -5.324 3.945
Hg 0.682 1.563 10.342
Hg 5.561 5.124 3.325
Hg 6.757 4.253 7.061
Hg 11.414 5.073 3.947
Hg -8.339 -1.819 7.531
Hg 5.754 -3.924 7.662
Hg 1.160 -4.451 9.615
Hg 0.725 3.208 14.008
Hg 3.711 7.934 5.522
Hg 4.062 -2.552 5.140
Hg 7.516 8.190 6.787
Hg -6.261 0.042 5.707
Hg 0.530 1.008 2.511
Hg 8.318 -2.362 6.216
Hg 7.538 -3.039 10.099
Hg 4.310 2.299 2.077
Hg -9.717 1.011 7.515
Hg 2.722 -1.288 7.693
Hg 4.650 -3.893 11.526
Hg -6.695 -2.059 11.189
Hg -1.459 2.303 7.898
Hg -3.387 4.909 4.065
Hg 7.958 3.074 4.401
Hg -6.275 4.054 5.491
Hg 10.980 0.004 8.076
Hg -3.047 -1.283 13.513
Hg -7.054 3.377 9.374
Hg 7.525 0.974 9.883
Hg 0.733 0.008 13.079
Hg -6.252 -7.174 8.803
Hg -2.447 -6.919 10.068
Hg 0.538 -2.193 1.583
Hg -2.799 3.568 10.450
Hg 9.602 2.835 8.060
Hg -4.490 4.940 7.928
Hg 0.104 5.466 5.975
Hg -10.151 -4.057 11.643
Hg -5.494 -3.238 8.529
Hg -0.146 6.339 11.645
Hg -4.298 -4.109 12.265
Hg 0.582 -0.547 5.248
Hg -1.187 -4.499 11.981
Hg -0.083 -1.562 9.471
Hg 12.600 1.639 5.665
```

D(E_F): 0.435 states/eV/atom
calculated formation energy: -2.2 kJ per mole of atoms
calculated total energy: -0.65 eV per atom

---

Entry 2:
AcSm2DyEr4: optimized geometry, PBE.

Cell and atoms, written as extended XYZ:
```
16
Lattice="9.446 -0.041 -1.729 -0.047 9.446 -1.729 -5.975 -5.979 8.359" Properties=species:S:1:pos:R:3 pbc="T T T"
Ac -0.024 4.723 -0.864
Ac 6.435 1.693 1.586
Sm 4.723 -0.020 -0.864
Sm 1.736 -3.010 3.315
Sm -2.988 -2.990 4.179
Sm 4.700 4.703 -1.729
Dy 1.712 1.713 2.450
Dy 3.471 -6.020 6.630
Er 2.342 7.143 -1.669
Er 4.017 -0.674 2.390
Er -0.593 4.101 2.511
Er 1.082 -3.717 6.569
Er 1.012 1.169 5.740
Er 3.968 4.127 1.612
Er -0.544 -0.700 3.289
Er 2.412 2.258 -0.839
```

D(E_F): 2.339 states/eV/atom
calculated formation energy: 42.9 kJ per mole of atoms
calculated total energy: -4.11 eV per atom

---

Entry 3:
Ac4GeSCl2: optimized geometry, PBE.

Cell and atoms, written as extended XYZ:
```
8
Lattice="4.502 0.000 0.000 0.000 7.620 -0.089 0.000 2.740 7.126" Properties=species:S:1:pos:R:3 pbc="T T T"
Ac 0.000 7.628 5.263
Ac 4.502 2.732 1.774
Ac 2.251 6.258 1.822
Ac 2.251 4.102 5.215
Ge 2.251 3.810 -0.044
S 0.000 5.180 3.519
Cl 0.000 2.740 7.126
Cl 2.251 1.370 3.563
```

D(E_F): 0.533 states/eV/atom
calculated total energy: -5.09 eV per atom